## SrScTl6 (PBE)

Data for a geometry-optimized SrScTl6 structure.

a b c (Å): 4.8374 4.8374 9.6445
angles (deg): 90.00 90.00 90.00
Last column: nearest neighbours and their distance in Å.
Element x y z (fractional)
Sr: 0.0000 0.0000 0.0000  12 Tl 3.42-3.52
Sc: 0.0000 0.0000 0.5000  12 Tl 3.31-3.42
Tl: 0.5000 0.5000 0.0000  4 Sr 3.42, 8 Tl 3.52
Tl: 0.5000 0.5000 0.5000  8 Tl 3.31, 4 Sc 3.42
Tl: 0.5000 0.0000 0.2653  2 Sc 3.31, 8 Tl 3.31-3.52, 2 Sr 3.52
Tl: 0.5000 0.0000 0.7347  8 Tl 3.31-3.52, 2 Sc 3.31, 2 Sr 3.52
Tl: 0.0000 0.5000 0.2653  8 Tl 3.31-3.52, 2 Sc 3.31, 2 Sr 3.52
Tl: 0.0000 0.5000 0.7347  8 Tl 3.31-3.52, 2 Sc 3.31, 2 Sr 3.52

* formation energy: -175 meV per atom